A plane-wave DFT calculation with PBE was carried out for an optimized crystal structure of NbH5.

E: -4.46 eV per atom
Theoretical density: 4.35 g/cm³
M_tot: 0.00 μB per formula unit

Cell: 3.1755 5.2489 5.2506 Å, 102.76 107.49 107.60°
Last column: nearest neighbours and their distance in Å.
Space group P-1 (No. 2)
Inequivalent atoms, fractional coordinates:
Nb 0.2502 0.1567 0.3433 (multiplicity 2)  10 H 1.87-1.99
H 0.0812 0.7595 0.4038 (multiplicity 2)  7 H 1.93-2.04, 3 Nb 1.98-2.11
H 0.0966 0.2014 0.9879 (multiplicity 2)  5 H 1.79-1.99, 2 Nb 1.87-1.98
H 0.2522 0.7205 0.7856 (multiplicity 2)  2 Nb 1.89, 6 H 1.91-1.99
H 0.4053 0.5124 0.2992 (multiplicity 2)  5 H 1.79-1.97, 2 Nb 1.87-1.98
H 0.4173 0.0979 0.7380 (multiplicity 2)  7 H 1.93-2.02, 3 Nb 1.99-2.10